1.
# Ge3OsPt PBE-GGA relaxed
# E_tot = -28.79 eV per formula unit
# Calculated density = 9.41 g/cm³
# E_form = 0.4657 eV per atom
# Total magnetic moment = 0.00 μB/atom
data_Ge3OsPt
_symmetry_space_group_name_H-M 'P m -3 m'
_symmetry_Int_Tables_number 221
_symmetry_space_group_name_Hall '-P 4 2 3'
_cell_length_a 4.7399
_cell_length_b 4.7399
_cell_length_c 4.7399
_cell_angle_alpha 90.00
_cell_angle_beta 90.00
_cell_angle_gamma 90.00
loop_
_atom_site_label
_atom_site_type_symbol
_atom_site_fract_x
_atom_site_fract_y
_atom_site_fract_z
Ge1 Ge 0.0000 0.0000 0.5000
Os1 Os 0.0000 0.0000 0.0000
Pt1 Pt 0.5000 0.5000 0.5000

2.
# GeOsPt PBE-GGA relaxed
# E_tot = -21.45 eV per formula unit
# Calculated density = 16.67 g/cm³
# E_form = 0.1456 eV per atom
# Total magnetic moment = 0.00 μB/atom
data_GeOsPt
_symmetry_space_group_name_H-M 'P -6 m 2'
_symmetry_Int_Tables_number 187
_symmetry_space_group_name_Hall 'P -6 2'
_cell_length_a 2.8873
_cell_length_b 2.8873
_cell_length_c 12.6366
_cell_angle_alpha 90.00
_cell_angle_beta 90.00
_cell_angle_gamma 120.00
loop_
_atom_site_label
_atom_site_type_symbol
_atom_site_fract_x
_atom_site_fract_y
_atom_site_fract_z
Ge1 Ge 0.0000 0.0000 0.1559
Os1 Os 0.3333 0.6667 0.0000
Os2 Os 0.3333 0.6667 0.5000
Pt1 Pt 0.6667 0.3333 0.3277

3.
# GeOsPt PBE-GGA relaxed
# E_tot = -21.63 eV per formula unit
# Calculated density = 16.19 g/cm³
# E_form = 0.0871 eV per atom
# Total magnetic moment = 0.00 μB/atom
data_GeOsPt
_symmetry_space_group_name_H-M 'C 1 2/m 1'
_symmetry_Int_Tables_number 12
_cell_length_a 9.4242
_cell_length_b 3.8904
_cell_length_c 5.3483
_cell_angle_alpha 90.00
_cell_angle_beta 106.65
_cell_angle_gamma 90.00
loop_
_symmetry_equiv_pos_as_xyz
'x,y,z'
'-x,-y,-z'
'-x,y,-z'
'x,-y,z'
'x+1/2,y+1/2,z'
'-x+1/2,-y+1/2,-z'
'-x+1/2,y+1/2,-z'
'x+1/2,-y+1/2,z'
loop_
_atom_site_label
_atom_site_type_symbol
_atom_site_fract_x
_atom_site_fract_y
_atom_site_fract_z
Ge1 Ge 0.1884 0.0000 0.1363
Os1 Os 0.1395 0.0000 0.6451
Pt1 Pt 0.0456 0.5000 0.2737

4.
# GeOsPt PBE-GGA relaxed
# E_tot = -21.55 eV per formula unit
# Calculated density = 15.69 g/cm³
# E_form = 0.1122 eV per atom
# Total magnetic moment = 0.00 μB/atom
data_GeOsPt
_symmetry_space_group_name_H-M 'P 1 m 1'
_symmetry_Int_Tables_number 6
_cell_length_a 4.9934
_cell_length_b 3.9140
_cell_length_c 5.4811
_cell_angle_alpha 90.00
_cell_angle_beta 115.17
_cell_angle_gamma 90.00
loop_
_symmetry_equiv_pos_as_xyz
'x,y,z'
'x,-y,z'
loop_
_atom_site_label
_atom_site_type_symbol
_atom_site_fract_x
_atom_site_fract_y
_atom_site_fract_z
Ge1 Ge 0.0000 0.0000 0.0000
Ge2 Ge 0.2932 0.5000 0.4840
Os1 Os 0.4049 0.0000 0.8389
Os2 Os 0.7328 0.5000 0.1162
Pt1 Pt 0.5354 0.0000 0.3704
Pt2 Pt 0.9249 0.5000 0.6700

5.
# Ge2TeOsPt PBE-GGA relaxed
# E_tot = -25.03 eV per formula unit
# Calculated density = 9.43 g/cm³
# Total magnetic moment = 0.42 μB/atom
data_Ge2TeOsPt
_symmetry_space_group_name_H-M 'P 4/m m m'
_symmetry_Int_Tables_number 123
_symmetry_space_group_name_Hall '-P 4 2'
_cell_length_a 4.6865
_cell_length_b 4.6865
_cell_length_c 5.2769
_cell_angle_alpha 90.00
_cell_angle_beta 90.00
_cell_angle_gamma 90.00
loop_
_atom_site_label
_atom_site_type_symbol
_atom_site_fract_x
_atom_site_fract_y
_atom_site_fract_z
Ge1 Ge 0.0000 0.5000 0.0000
Te1 Te 0.0000 0.0000 0.5000
Os1 Os 0.5000 0.5000 0.5000
Pt1 Pt 0.5000 0.5000 0.0000

6.
# VGeOsPt2 PBE-GGA relaxed
# E_tot = -30.30 eV per formula unit
# Calculated density = 12.54 g/cm³
# E_form = 1.3496 eV per atom
# Total magnetic moment = 0.17 μB/atom
data_VGeOsPt2
_symmetry_space_group_name_H-M 'P 4/m m m'
_symmetry_Int_Tables_number 123
_symmetry_space_group_name_Hall '-P 4 2'
_cell_length_a 4.5397
_cell_length_b 4.5397
_cell_length_c 4.5239
_cell_angle_alpha 90.00
_cell_angle_beta 90.00
_cell_angle_gamma 90.00
loop_
_atom_site_label
_atom_site_type_symbol
_atom_site_fract_x
_atom_site_fract_y
_atom_site_fract_z
V1 V 0.0000 0.0000 0.0000
Ge1 Ge 0.0000 0.0000 0.5000
Os1 Os 0.5000 0.5000 0.5000
Pt1 Pt 0.0000 0.5000 0.0000

7.
# PuGe2Os PBE-GGA relaxed
# E_tot = -35.52 eV per formula unit
# Calculated density = 12.15 g/cm³
# E_form = -0.1803 eV per atom
# Total magnetic moment = 1.26 μB/atom
data_PuGe2Os
_symmetry_space_group_name_H-M 'C m m m'
_symmetry_Int_Tables_number 65
_symmetry_space_group_name_Hall '-C 2 2'
_cell_length_a 4.2282
_cell_length_b 18.1009
_cell_length_c 4.1406
_cell_angle_alpha 90.00
_cell_angle_beta 90.00
_cell_angle_gamma 90.00
loop_
_atom_site_label
_atom_site_type_symbol
_atom_site_fract_x
_atom_site_fract_y
_atom_site_fract_z
Pu1 Pu 0.0000 0.1442 0.0000
Ge1 Ge 0.0000 0.0000 0.5000
Ge2 Ge 0.0000 0.2878 0.5000
Ge3 Ge 0.0000 0.5000 0.0000
Os1 Os 0.0000 0.4220 0.5000

8.
# Pu6GeOs PBE-GGA relaxed
# E_tot = -101.60 eV per formula unit
# Calculated density = 15.35 g/cm³
# E_form = 0.0296 eV per atom
# Total magnetic moment = 4.19 μB/atom
data_Pu6GeOs
_symmetry_space_group_name_H-M 'P 4/m m m'
_symmetry_Int_Tables_number 123
_symmetry_space_group_name_Hall '-P 4 2'
_cell_length_a 4.5749
_cell_length_b 4.5749
_cell_length_c 8.9242
_cell_angle_alpha 90.00
_cell_angle_beta 90.00
_cell_angle_gamma 90.00
loop_
_atom_site_label
_atom_site_type_symbol
_atom_site_fract_x
_atom_site_fract_y
_atom_site_fract_z
Pu1 Pu 0.0000 0.0000 0.0000
Pu2 Pu 0.0000 0.0000 0.5000
Pu3 Pu 0.0000 0.5000 0.2354
Ge1 Ge 0.5000 0.5000 0.5000
Os1 Os 0.5000 0.5000 0.0000

9.
# Pu3Ge3Os PBE-GGA relaxed
# E_tot = -70.69 eV per formula unit
# Calculated density = 12.60 g/cm³
# E_form = -0.3726 eV per atom
# Total magnetic moment = 2.27 μB/atom
data_Pu3Ge3Os
_symmetry_space_group_name_H-M 'C 1 2/m 1'
_symmetry_Int_Tables_number 12
_cell_length_a 10.6352
_cell_length_b 4.2454
_cell_length_c 13.7283
_cell_angle_alpha 90.00
_cell_angle_beta 104.12
_cell_angle_gamma 90.00
loop_
_symmetry_equiv_pos_as_xyz
'x,y,z'
'-x,-y,-z'
'-x,y,-z'
'x,-y,z'
'x+1/2,y+1/2,z'
'-x+1/2,-y+1/2,-z'
'-x+1/2,y+1/2,-z'
'x+1/2,-y+1/2,z'
loop_
_atom_site_label
_atom_site_type_symbol
_atom_site_fract_x
_atom_site_fract_y
_atom_site_fract_z
Pu1 Pu 0.0307 0.0000 0.3861
Pu2 Pu 0.1036 0.0000 0.9102
Pu3 Pu 0.2476 0.0000 0.2293
Ge1 Ge 0.0369 0.5000 0.2335
Ge2 Ge 0.1100 0.5000 0.0673
Ge3 Ge 0.1520 0.5000 0.5377
Os1 Os 0.2488 0.5000 0.3736

10.
# Pu4Ge8Os PBE-GGA relaxed
# E_tot = -109.32 eV per formula unit
# Calculated density = 10.69 g/cm³
# E_form = -0.2942 eV per atom
# Total magnetic moment = 0.02 μB/atom
data_Pu4Ge8Os
_symmetry_space_group_name_H-M 'P m m 2'
_symmetry_Int_Tables_number 25
_cell_length_a 4.0583
_cell_length_b 4.2177
_cell_length_c 15.8607
_cell_angle_alpha 90.00
_cell_angle_beta 90.00
_cell_angle_gamma 90.00
loop_
_symmetry_equiv_pos_as_xyz
'x,y,z'
'-x,-y,z'
'-x,y,z'
'x,-y,z'
loop_
_atom_site_label
_atom_site_type_symbol
_atom_site_fract_x
_atom_site_fract_y
_atom_site_fract_z
Pu1 Pu 0.0000 0.0000 0.0000
Pu2 Pu 0.0000 0.5000 0.4825
Pu3 Pu 0.5000 0.0000 0.7826
Pu4 Pu 0.5000 0.5000 0.2857
Ge1 Ge 0.0000 0.0000 0.3253
Ge2 Ge 0.0000 0.0000 0.6162
Ge3 Ge 0.0000 0.5000 0.1415
Ge4 Ge 0.0000 0.5000 0.8582
Ge5 Ge 0.5000 0.0000 0.1447
Ge6 Ge 0.5000 0.0000 0.4354
Ge7 Ge 0.5000 0.5000 0.6148
Ge8 Ge 0.5000 0.5000 0.9623
Os1 Os 0.0000 0.5000 0.7039

11.
# PuGeOs PBE-GGA relaxed
# E_tot = -30.63 eV per formula unit
# Calculated density = 14.68 g/cm³
# E_form = -0.1507 eV per atom
# Total magnetic moment = 1.46 μB/atom
data_PuGeOs
_symmetry_space_group_name_H-M 'P -6 m 2'
_symmetry_Int_Tables_number 187
_symmetry_space_group_name_Hall 'P -6 2'
_cell_length_a 4.4058
_cell_length_b 4.4058
_cell_length_c 3.4113
_cell_angle_alpha 90.00
_cell_angle_beta 90.00
_cell_angle_gamma 120.00
loop_
_atom_site_label
_atom_site_type_symbol
_atom_site_fract_x
_atom_site_fract_y
_atom_site_fract_z
Pu1 Pu 0.0000 0.0000 0.0000
Ge1 Ge 0.3333 0.6667 0.5000
Os1 Os 0.6667 0.3333 0.5000

12.
# Pu7Ge2Os2 PBE-GGA relaxed
# E_tot = -130.70 eV per formula unit
# Calculated density = 15.74 g/cm³
# E_form = 0.1198 eV per atom
# Total magnetic moment = 0.56 μB/atom
data_Pu7Ge2Os2
_symmetry_space_group_name_H-M 'C 1 2/m 1'
_symmetry_Int_Tables_number 12
_cell_length_a 10.5069
_cell_length_b 8.8021
_cell_length_c 5.2921
_cell_angle_alpha 90.00
_cell_angle_beta 105.62
_cell_angle_gamma 90.00
loop_
_symmetry_equiv_pos_as_xyz
'x,y,z'
'-x,-y,-z'
'-x,y,-z'
'x,-y,z'
'x+1/2,y+1/2,z'
'-x+1/2,-y+1/2,-z'
'-x+1/2,y+1/2,-z'
'x+1/2,-y+1/2,z'
loop_
_atom_site_label
_atom_site_type_symbol
_atom_site_fract_x
_atom_site_fract_y
_atom_site_fract_z
Pu1 Pu 0.0000 0.0000 0.0000
Pu2 Pu 0.0442 0.5000 0.2437
Pu3 Pu 0.2288 0.3228 0.2522
Ge1 Ge 0.2248 0.5000 0.7546
Os1 Os 0.0000 0.1460 0.5000

13.
# PuGeOs PBE-GGA relaxed
# E_tot = -29.61 eV per formula unit
# Calculated density = 13.91 g/cm³
# E_form = 0.1902 eV per atom
# Total magnetic moment = 1.42 μB/atom
data_PuGeOs
_symmetry_space_group_name_H-M 'I 4 m m'
_symmetry_Int_Tables_number 107
_symmetry_space_group_name_Hall 'I 4 -2'
_cell_length_a 3.7196
_cell_length_b 3.7196
_cell_length_c 8.7461
_cell_angle_alpha 90.00
_cell_angle_beta 90.00
_cell_angle_gamma 90.00
loop_
_atom_site_label
_atom_site_type_symbol
_atom_site_fract_x
_atom_site_fract_y
_atom_site_fract_z
Pu1 Pu 0.0000 0.0000 0.0000
Ge1 Ge 0.0000 0.0000 0.6817
Os1 Os 0.0000 0.0000 0.3935

14.
# Pu4Ge12Os PBE-GGA relaxed
# E_tot = -129.46 eV per formula unit
# Calculated density = 10.44 g/cm³
# E_form = -0.3231 eV per atom
# Total magnetic moment = 1.27 μB/atom
data_Pu4Ge12Os
_symmetry_space_group_name_H-M 'I m -3 m'
_symmetry_Int_Tables_number 229
_symmetry_space_group_name_Hall '-I 4 2 3'
_cell_length_a 8.6537
_cell_length_b 8.6537
_cell_length_c 8.6537
_cell_angle_alpha 90.00
_cell_angle_beta 90.00
_cell_angle_gamma 90.00
loop_
_atom_site_label
_atom_site_type_symbol
_atom_site_fract_x
_atom_site_fract_y
_atom_site_fract_z
Pu1 Pu 0.2500 0.2500 0.2500
Ge1 Ge 0.0000 0.0000 0.2932
Ge2 Ge 0.0000 0.2500 0.5000
Os1 Os 0.0000 0.0000 0.0000

15.
# PuGe2Os PBE-GGA relaxed
# E_tot = -35.81 eV per formula unit
# Calculated density = 12.81 g/cm³
# E_form = -0.2530 eV per atom
# Total magnetic moment = 1.22 μB/atom
data_PuGe2Os
_symmetry_space_group_name_H-M 'R -3 m'
_symmetry_Int_Tables_number 166
_symmetry_space_group_name_Hall '-R 3 2"'
_cell_length_a 4.2414
_cell_length_b 4.2414
_cell_length_c 14.4601
_cell_angle_alpha 90.00
_cell_angle_beta 90.00
_cell_angle_gamma 120.00
loop_
_atom_site_label
_atom_site_type_symbol
_atom_site_fract_x
_atom_site_fract_y
_atom_site_fract_z
Pu1 Pu 0.0000 0.0000 0.0000
Ge1 Ge 0.0000 0.0000 0.2218
Os1 Os 0.0000 0.0000 0.5000

16.
# Pu4Ge3Os PBE-GGA relaxed
# E_tot = -82.20 eV per formula unit
# Calculated density = 13.08 g/cm³
# E_form = 0.0260 eV per atom
# Total magnetic moment = 0.35 μB/atom
data_Pu4Ge3Os
_symmetry_space_group_name_H-M 'P m m 2'
_symmetry_Int_Tables_number 25
_cell_length_a 3.4434
_cell_length_b 4.3815
_cell_length_c 11.6458
_cell_angle_alpha 90.00
_cell_angle_beta 90.00
_cell_angle_gamma 90.00
loop_
_symmetry_equiv_pos_as_xyz
'x,y,z'
'-x,-y,z'
'-x,y,z'
'x,-y,z'
loop_
_atom_site_label
_atom_site_type_symbol
_atom_site_fract_x
_atom_site_fract_y
_atom_site_fract_z
Pu1 Pu 0.0000 0.0000 0.0000
Pu2 Pu 0.0000 0.5000 0.0916
Pu3 Pu 0.5000 0.0000 0.8610
Pu4 Pu 0.5000 0.5000 0.5810
Ge1 Ge 0.0000 0.5000 0.7942
Ge2 Ge 0.5000 0.0000 0.1996
Ge3 Ge 0.5000 0.5000 0.3215
Os1 Os 0.0000 0.0000 0.6629

17.
# Pu3Ge4Os2 PBE-GGA relaxed
# E_tot = -86.91 eV per formula unit
# Calculated density = 12.86 g/cm³
# E_form = -0.3319 eV per atom
# Total magnetic moment = 0.49 μB/atom
data_Pu3Ge4Os2
_symmetry_space_group_name_H-M 'C 1 2/m 1'
_symmetry_Int_Tables_number 12
_cell_length_a 10.7449
_cell_length_b 4.3450
_cell_length_c 8.2098
_cell_angle_alpha 90.00
_cell_angle_beta 109.00
_cell_angle_gamma 90.00
loop_
_symmetry_equiv_pos_as_xyz
'x,y,z'
'-x,-y,-z'
'-x,y,-z'
'x,-y,z'
'x+1/2,y+1/2,z'
'-x+1/2,-y+1/2,-z'
'-x+1/2,y+1/2,-z'
'x+1/2,-y+1/2,z'
loop_
_atom_site_label
_atom_site_type_symbol
_atom_site_fract_x
_atom_site_fract_y
_atom_site_fract_z
Pu1 Pu 0.0000 0.0000 0.0000
Pu2 Pu 0.1243 0.5000 0.6916
Ge1 Ge 0.0868 0.0000 0.3932
Ge2 Ge 0.2104 0.5000 0.0738
Os1 Os 0.1884 0.5000 0.3643

18.
# PuGe2Os PBE-GGA relaxed
# E_tot = -35.40 eV per formula unit
# Calculated density = 13.58 g/cm³
# E_form = -0.1506 eV per atom
# Total magnetic moment = 1.50 μB/atom
data_PuGe2Os
_symmetry_space_group_name_H-M 'P 4/m m m'
_symmetry_Int_Tables_number 123
_symmetry_space_group_name_Hall '-P 4 2'
_cell_length_a 3.1141
_cell_length_b 3.1141
_cell_length_c 7.3049
_cell_angle_alpha 90.00
_cell_angle_beta 90.00
_cell_angle_gamma 90.00
loop_
_atom_site_label
_atom_site_type_symbol
_atom_site_fract_x
_atom_site_fract_y
_atom_site_fract_z
Pu1 Pu 0.0000 0.0000 0.0000
Ge1 Ge 0.5000 0.5000 0.2953
Os1 Os 0.0000 0.0000 0.5000

19.
# Pu2Ge8Os PBE-GGA relaxed
# E_tot = -79.68 eV per formula unit
# Calculated density = 10.08 g/cm³
# E_form = -0.2589 eV per atom
# Total magnetic moment = 0.88 μB/atom
data_Pu2Ge8Os
_symmetry_space_group_name_H-M 'P 4/m m m'
_symmetry_Int_Tables_number 123
_symmetry_space_group_name_Hall '-P 4 2'
_cell_length_a 4.3145
_cell_length_b 4.3145
_cell_length_c 11.1423
_cell_angle_alpha 90.00
_cell_angle_beta 90.00
_cell_angle_gamma 90.00
loop_
_atom_site_label
_atom_site_type_symbol
_atom_site_fract_x
_atom_site_fract_y
_atom_site_fract_z
Pu1 Pu 0.0000 0.0000 0.1888
Ge1 Ge 0.0000 0.5000 0.0000
Ge2 Ge 0.0000 0.5000 0.3744
Ge3 Ge 0.5000 0.5000 0.1905
Os1 Os 0.0000 0.0000 0.5000

20.
# PuGe3Os2 PBE-GGA relaxed
# E_tot = -50.97 eV per formula unit
# Calculated density = 12.76 g/cm³
# E_form = -0.0544 eV per atom
# Total magnetic moment = 0.82 μB/atom
data_PuGe3Os2
_symmetry_space_group_name_H-M 'P 1 21/m 1'
_symmetry_Int_Tables_number 11
_cell_length_a 4.6796
_cell_length_b 4.2601
_cell_length_c 11.0857
_cell_angle_alpha 90.00
_cell_angle_beta 97.16
_cell_angle_gamma 90.00
loop_
_symmetry_equiv_pos_as_xyz
'x,y,z'
'-x,-y,-z'
'-x,y+1/2,-z'
'x,-y+1/2,z'
loop_
_atom_site_label
_atom_site_type_symbol
_atom_site_fract_x
_atom_site_fract_y
_atom_site_fract_z
Pu1 Pu 0.1463 0.2500 0.2805
Ge1 Ge 0.0991 0.7500 0.0708
Ge2 Ge 0.1719 0.7500 0.4957
Ge3 Ge 0.3711 0.2500 0.8049
Os1 Os 0.3674 0.2500 0.5842
Os2 Os 0.4034 0.2500 0.0568

Number 1: V 21.30 Å³/atom. Number 2: V 15.20 Å³/atom. Number 3: V 15.66 Å³/atom. Number 4: V 16.16 Å³/atom. Number 5: V 23.18 Å³/atom. Number 6: V 18.65 Å³/atom. Number 7: V 19.81 Å³/atom. Number 8: V 23.35 Å³/atom. Number 9: V 21.47 Å³/atom. Number 10: V 20.88 Å³/atom. Number 11: V 19.12 Å³/atom. Number 12: V 21.43 Å³/atom. Number 13: V 20.17 Å³/atom. Number 14: V 19.06 Å³/atom. Number 15: V 18.77 Å³/atom. Number 16: V 21.96 Å³/atom. Number 17: V 20.13 Å³/atom. Number 18: V 17.71 Å³/atom. Number 19: V 18.86 Å³/atom. Number 20: V 18.27 Å³/atom.